1.
Compound: HRhF2
Source: the Alexandria database
Functional: PBE
Structure: optimized geometry

```
HRhF2
1.0
1.400 0.808 6.119
-1.400 0.808 6.119
0.000 -1.617 6.119
H Rh F
1 1 2
direct
0.000 0.000 0.000
0.500 0.500 0.500
0.062 0.062 0.062
0.938 0.938 0.938
```

The calculation puts the final energy at -4.426 eV/atom. As for the mass density: 5671 kg/m³. As for the offset from the most stable computed form: 0 meV per atom. As for the space group: R-3m (166).

=====

2.
Compound: OsCI3
Source: the Alexandria database
Functional: PBE
Structure: optimized geometry

```
OsCI3
1.0
4.981 0.000 0.000
0.000 4.981 0.000
0.000 0.000 4.981
Os C I
1 1 3
direct
0.000 0.000 0.000
0.500 0.500 0.500
0.000 0.500 0.500
0.500 0.000 0.500
0.500 0.500 0.000
```

The calculation puts the final energy at -2.817 eV/atom. As for the mass density: 7832 kg/m³. As for the offset from the most stable computed form: 101 meV per atom. As for the space group: Pm-3m (221). The uncorrected formation energy comes out at 2.20 eV per atom.

=====

3.
Compound: Ca3AgAu3
Source: the Alexandria database
Functional: PBE
Structure: optimized geometry

```
Ca3AgAu3
1.0
-1.957 2.249 10.020
1.957 -2.249 10.020
1.957 2.249 -10.020
Ca Ag Au
3 1 3
direct
0.000 0.000 0.000
0.379 0.379 0.000
0.682 0.182 0.500
0.257 0.757 0.500
0.121 0.621 0.500
0.533 0.533 0.000
0.843 0.843 0.000
```

The calculation puts the final energy at -3.335 eV/atom. As for the mass density: 7708 kg/m³. As for the space group: Imm2 (44). Its formation energy is -0.665 eV per atom.

=====

4.
Compound: Tl4IClF2
Source: the Alexandria database
Functional: PBE
Structure: optimized geometry

```
Tl4IClF2
1.0
-4.390 4.432 6.224
4.390 -4.432 6.224
4.390 4.432 -6.224
Tl I Cl F
8 2 2 4
direct
0.264 0.222 0.042
0.273 0.259 0.486
0.273 0.786 0.014
0.320 0.778 0.542
0.680 0.222 0.458
0.727 0.214 0.986
0.727 0.741 0.514
0.736 0.778 0.958
0.000 0.000 0.500
0.000 0.500 0.000
0.000 0.500 0.500
0.500 0.500 0.000
0.000 0.000 0.000
0.500 0.000 0.000
0.500 0.000 0.500
0.500 0.500 0.500
```

The calculation puts the final energy at -3.312 eV/atom. As for the mass density: 6977 kg/m³. As for the space group: Imma (74). The uncorrected formation energy comes out at -1.24 eV per atom.

=====

5.
Compound: RbCrAs2Se
Source: the Alexandria database
Functional: PBE
Structure: optimized geometry

```
RbCrAs2Se
1.0
4.681 0.000 0.000
0.000 4.681 0.000
0.000 0.000 5.473
Rb Cr As Se
1 1 2 1
direct
0.000 0.000 0.000
0.500 0.500 0.500
0.000 0.500 0.500
0.500 0.000 0.500
0.500 0.500 0.000
```

The calculation puts the final energy at -4.684 eV/atom. As for the mass density: 5073 kg/m³. As for the offset from the most stable computed form: 0 meV per atom. As for the space group: P4/mmm (123). The uncorrected formation energy comes out at -0.01 eV per atom.

=====

6.
Compound: B2C
Source: the Alexandria database
Functional: PBE
Structure: optimized geometry

```
B2C
1.0
6.658 -1.336 0.000
6.658 1.336 0.000
-0.793 0.000 4.884
B C
8 4
direct
0.000 0.000 0.000
0.172 0.172 0.274
0.373 0.373 0.734
0.492 0.492 0.452
0.506 0.506 0.791
0.648 0.648 0.763
0.798 0.798 0.559
0.860 0.860 0.134
0.193 0.193 0.957
0.307 0.307 0.022
0.685 0.685 0.447
0.975 0.975 0.290
```

The calculation puts the final energy at -7.174 eV/atom. As for the mass density: 2571 kg/m³. As for the offset from the most stable computed form: 167 meV per atom. As for the space group: Cm (8). Its formation energy is 0.352 eV per atom.

=====

7.
Compound: HoMgTlNi
Source: the Alexandria database
Functional: PBE
Structure: optimized geometry

```
HoMgTlNi
1.0
0.000 3.464 3.464
3.464 0.000 3.464
3.464 3.464 0.000
Ho Mg Tl Ni
1 1 1 1
direct
0.000 0.000 0.000
0.500 0.500 0.500
0.250 0.250 0.250
0.750 0.750 0.750
```

The calculation puts the final energy at -3.753 eV/atom. As for the mass density: 9036 kg/m³. As for the space group: F-43m (216). Its formation energy is -0.173 eV per atom.

=====

8.
Compound: CaGe2Au2
Source: the Alexandria database
Functional: PBE
Structure: optimized geometry

```
CaGe2Au2
1.0
-2.063 2.063 6.316
2.063 -2.063 6.316
2.063 2.063 -6.316
Ca Ge Au
1 2 2
direct
0.000 0.000 0.000
0.250 0.750 0.500
0.750 0.250 0.500
0.392 0.392 0.000
0.608 0.608 0.000
```

The calculation puts the final energy at -3.944 eV/atom. As for the mass density: 8947 kg/m³. As for the space group: I4/mmm (139). Its formation energy is -0.386 eV per atom.

=====

9.
Compound: VIn2Sb
Source: the Alexandria database
Functional: PBE
Structure: optimized geometry

```
VIn2Sb
1.0
-5.270 5.270 2.548
5.270 -5.270 2.548
5.270 5.270 -2.548
V In Sb
2 4 2
direct
0.000 0.000 0.000
0.750 0.250 0.500
0.375 0.123 0.248
0.873 0.625 0.748
0.875 0.127 0.752
0.877 0.125 0.252
0.250 0.750 0.500
0.500 0.500 0.000
```

The calculation puts the final energy at -4.298 eV/atom. As for the mass density: 4721 kg/m³. As for the space group: I-42d (122). The uncorrected formation energy comes out at 0.38 eV per atom.

=====

10.
Compound: RbCd3Pd
Source: the Alexandria database
Functional: PBE
Structure: optimized geometry

```
RbCd3Pd
1.0
5.713 0.000 0.000
1.134 7.001 0.000
0.616 3.023 6.622
Rb Cd Pd
2 6 2
direct
0.000 0.000 0.000
0.500 0.251 0.728
0.166 0.962 0.506
0.362 0.356 0.197
0.500 0.723 0.290
0.574 0.690 0.829
0.858 0.376 0.235
0.976 0.591 0.496
0.080 0.600 0.855
0.669 0.985 0.434
```

The calculation puts the final energy at -1.915 eV/atom. As for the mass density: 6634 kg/m³. As for the offset from the most stable computed form: 60 meV per atom. As for the space group: P1 (1). Its formation energy is -0.134 eV per atom.

=====

11.
Compound: K2HfI
Source: the Alexandria database
Functional: PBE
Structure: optimized geometry

```
K2HfI
1.0
0.000 4.451 4.451
4.451 0.000 4.451
4.451 4.451 0.000
K Hf I
2 1 1
direct
0.250 0.250 0.250
0.750 0.750 0.750
0.000 0.000 0.000
0.500 0.500 0.500
```

The calculation puts the final energy at -2.779 eV/atom. As for the mass density: 3612 kg/m³. As for the offset from the most stable computed form: 64 meV per atom. As for the space group: Fm-3m (225). The uncorrected formation energy comes out at 0.65 eV per atom.

=====

12.
Compound: HgMo2Pb2
Source: the Alexandria database
Functional: PBE
Structure: optimized geometry

```
HgMo2Pb2
1.0
-2.285 2.285 5.950
2.285 -2.285 5.950
2.285 2.285 -5.950
Hg Mo Pb
1 2 2
direct
0.000 0.000 0.000
0.411 0.411 0.000
0.589 0.589 0.000
0.250 0.750 0.500
0.750 0.250 0.500
```

The calculation puts the final energy at -4.982 eV/atom. As for the mass density: 10786 kg/m³. As for the offset from the most stable computed form: 402 meV per atom. As for the space group: I4/mmm (139). Its formation energy is 0.894 eV per atom.

=====

13.
Compound: VTc2H
Source: the Alexandria database
Functional: PBE
Structure: optimized geometry

```
VTc2H
1.0
-3.295 3.295 2.151
3.295 -3.295 2.151
3.295 3.295 -2.151
V Tc H
2 4 2
direct
0.000 0.000 0.000
0.750 0.250 0.500
0.234 0.625 0.109
0.375 0.484 0.609
0.516 0.125 0.891
0.875 0.766 0.391
0.250 0.750 0.500
0.500 0.500 0.000
```

The calculation puts the final energy at -8.158 eV/atom. As for the mass density: 8814 kg/m³. As for the offset from the most stable computed form: 0 meV per atom. As for the space group: I-42d (122).

=====

14.
Compound: K2ThSeO6
Source: the Alexandria database
Functional: PBE
Structure: optimized geometry

```
K2ThSeO6
1.0
0.000 4.137 4.137
4.137 0.000 4.137
4.137 4.137 0.000
K Th Se O
2 1 1 6
direct
0.250 0.250 0.250
0.750 0.750 0.750
0.000 0.000 0.000
0.500 0.500 0.500
0.277 0.277 0.723
0.277 0.723 0.277
0.277 0.723 0.723
0.723 0.277 0.277
0.723 0.277 0.723
0.723 0.723 0.277
```

The calculation puts the final energy at -6.193 eV/atom. As for the mass density: 5690 kg/m³. As for the space group: Fm-3m (225). The uncorrected formation energy comes out at -1.91 eV per atom.

=====

15.
Compound: In2MoCl
Source: the Alexandria database
Functional: PBE
Structure: optimized geometry

```
In2MoCl
1.0
-2.105 2.105 5.006
2.105 -2.105 5.006
2.105 2.105 -5.006
In Mo Cl
2 1 1
direct
0.000 0.000 0.000
0.750 0.250 0.500
0.250 0.750 0.500
0.500 0.500 0.000
```

The calculation puts the final energy at -3.970 eV/atom. As for the mass density: 6758 kg/m³. As for the offset from the most stable computed form: 488 meV per atom. As for the space group: I-4m2 (119). The uncorrected formation energy comes out at 0.57 eV per atom.

=====

16.
Compound: SrAlRh4
Source: the Alexandria database
Functional: PBE
Structure: optimized geometry

```
SrAlRh4
1.0
0.000 3.746 3.746
3.746 0.000 3.746
3.746 3.746 0.000
Sr Al Rh
1 1 4
direct
0.000 0.000 0.000
0.750 0.750 0.750
0.376 0.376 0.376
0.376 0.376 0.872
0.376 0.872 0.376
0.872 0.376 0.376
```

The calculation puts the final energy at -5.947 eV/atom. As for the mass density: 8313 kg/m³. As for the space group: F-43m (216). Its formation energy is -0.142 eV per atom.

=====

17.
Compound: Sc2TiPtO
Source: the Alexandria database
Functional: PBE
Structure: optimized geometry

```
Sc2TiPtO
1.0
4.330 0.000 0.000
0.000 4.330 0.000
0.000 0.000 4.113
Sc Ti Pt O
2 1 1 1
direct
0.000 0.500 0.000
0.500 0.000 0.000
0.000 0.000 0.500
0.500 0.500 0.500
0.000 0.000 0.000
```

The calculation puts the final energy at -7.958 eV/atom. As for the mass density: 7513 kg/m³. As for the space group: P4/mmm (123). The uncorrected formation energy comes out at -1.65 eV per atom.

=====

18.
Compound: ZrPtC3
Source: the Alexandria database
Functional: PBE
Structure: optimized geometry

```
ZrPtC3
1.0
4.003 0.000 0.000
0.000 4.003 0.000
0.000 0.000 4.003
Zr Pt C
1 1 3
direct
0.000 0.000 0.000
0.500 0.500 0.500
0.000 0.500 0.500
0.500 0.000 0.500
0.500 0.500 0.000
```

The calculation puts the final energy at -6.608 eV/atom. As for the mass density: 8343 kg/m³. As for the offset from the most stable computed form: 0 meV per atom. As for the space group: Pm-3m (221). Its formation energy is 1.844 eV per atom.

=====

19.
Compound: Dy3Y3Rh2
Source: the Alexandria database
Functional: PBE
Structure: optimized geometry

```
Dy3Y3Rh2
1.0
1.885 -6.569 0.000
1.885 6.569 0.000
0.000 0.000 18.209
Dy Y Rh
6 6 4
direct
0.055 0.945 0.750
0.173 0.827 0.060
0.173 0.827 0.440
0.827 0.173 0.560
0.827 0.173 0.940
0.945 0.055 0.250
0.218 0.782 0.250
0.440 0.560 0.089
0.440 0.560 0.411
0.560 0.440 0.589
0.560 0.440 0.911
0.782 0.218 0.750
0.205 0.795 0.638
0.205 0.795 0.862
0.795 0.205 0.138
0.795 0.205 0.362
```

The calculation puts the final energy at -6.389 eV/atom. As for the mass density: 7069 kg/m³. As for the space group: Cmcm (63). Its formation energy is -0.401 eV per atom.

=====

20.
Compound: TcSb2PI
Source: the Alexandria database
Functional: PBE
Structure: optimized geometry

```
TcSb2PI
1.0
5.242 0.000 0.000
0.000 5.242 0.000
0.000 0.000 5.202
Tc Sb P I
1 2 1 1
direct
0.000 0.000 0.000
0.000 0.500 0.500
0.500 0.000 0.500
0.500 0.500 0.500
0.500 0.500 0.000
```

The calculation puts the final energy at -3.875 eV/atom. As for the mass density: 5802 kg/m³. As for the offset from the most stable computed form: 355 meV per atom. As for the space group: P4/mmm (123). The uncorrected formation energy comes out at 1.24 eV per atom.